Record 1
! PBE PmThN2, relaxed; values from VASP
&SYSTEM
  ibrav = 0, nat = 8, ntyp = 3
/
ATOMIC_SPECIES
Pm 145.00 Pm.upf
Th 232.04 Th.upf
N 14.01 N.upf
ATOMIC_POSITIONS crystal
Pm 0.375 0.625 0.750
Pm 0.625 0.375 0.250
Th 0.125 0.875 0.250
Th 0.875 0.125 0.750
N 0.119 0.369 0.750
N 0.369 0.119 0.250
N 0.631 0.881 0.750
N 0.881 0.631 0.250
CELL_PARAMETERS angstrom
-2.570 2.570 5.154
2.570 -2.570 5.154
2.570 2.570 -5.154
! E_form (uncorrected): -149.6 kJ per mole of atoms
! offset from the most stable computed form: 0 meV/atom

Record 2
Zr2CoPt | PBE | relaxed Values from VASP.

The structure in Quantum ESPRESSO input format:
```
&SYSTEM
  ibrav = 0, nat = 4, ntyp = 3
/
ATOMIC_SPECIES
Zr 91.22 Zr.upf
Co 58.93 Co.upf
Pt 195.08 Pt.upf
ATOMIC_POSITIONS crystal
Zr 0.000 0.500 0.000
Zr 0.500 0.000 0.000
Co 0.000 0.000 0.500
Pt 0.500 0.500 0.500
CELL_PARAMETERS angstrom
3.250 -3.261 0.000
3.250 3.261 0.000
0.000 0.000 3.367
```

Record 3
Nd2Y4TmMg | PBE | relaxed Values from VASP.

The structure in Quantum ESPRESSO input format:
```
&SYSTEM
  ibrav = 0, nat = 8, ntyp = 4
/
ATOMIC_SPECIES
Nd 144.24 Nd.upf
Y 88.91 Y.upf
Tm 168.93 Tm.upf
Mg 24.30 Mg.upf
ATOMIC_POSITIONS crystal
Nd 0.000 0.000 0.000
Nd 0.500 0.500 0.500
Y 0.000 0.500 0.249
Y 0.000 0.500 0.751
Y 0.500 0.000 0.250
Y 0.500 0.000 0.750
Tm 0.000 0.000 0.500
Mg 0.500 0.500 0.000
CELL_PARAMETERS angstrom
5.004 0.000 0.000
0.000 5.017 0.000
0.000 0.000 10.125
```

Record 4
! PBE InReHg, relaxed; values from VASP
&SYSTEM
  ibrav = 0, nat = 3, ntyp = 3
/
ATOMIC_SPECIES
In 114.82 In.upf
Re 186.21 Re.upf
Hg 200.59 Hg.upf
ATOMIC_POSITIONS crystal
In 0.000 0.000 0.000
Re 0.667 0.333 0.311
Hg 0.333 0.667 0.634
CELL_PARAMETERS angstrom
3.028 0.000 0.000
-1.514 2.622 0.000
0.000 0.000 7.320
! offset from the most stable computed form: 0 meV/atom

Record 5
! PBE InHS2N, relaxed; values from VASP
&SYSTEM
  ibrav = 0, nat = 5, ntyp = 4
/
ATOMIC_SPECIES
In 114.82 In.upf
H 1.01 H.upf
S 32.06 S.upf
N 14.01 N.upf
ATOMIC_POSITIONS crystal
In 0.000 0.000 0.000
H 0.500 0.500 0.500
S 0.000 0.500 0.500
S 0.500 0.000 0.500
N 0.500 0.500 0.000
CELL_PARAMETERS angstrom
3.479 0.000 0.000
0.000 3.479 0.000
0.000 0.000 7.078
! offset from the most stable computed form: 0 meV/atom

Record 6
! PBE AlReSe2, relaxed; values from VASP
&SYSTEM
  ibrav = 0, nat = 4, ntyp = 3
/
ATOMIC_SPECIES
Al 26.98 Al.upf
Re 186.21 Re.upf
Se 78.96 Se.upf
ATOMIC_POSITIONS crystal
Al 0.000 0.000 0.000
Re 0.500 0.500 0.000
Se 0.000 0.500 0.000
Se 0.500 0.000 0.000
CELL_PARAMETERS angstrom
2.741 -5.048 0.000
2.741 5.048 0.000
-0.805 0.000 2.563
! E_form (uncorrected): 59.6 kJ per mole of atoms

| no. | total energy (eV per atom) |
| --- | --- |
| 1 | -8.756 |
| 2 | -8.136 |
| 3 | -5.153 |
| 4 | -4.426 |
| 5 | -3.567 |
| 6 | -5.172 |